[1]
RbLa2PbW | PBE | optimized geometry

Computed properties:
Energy of formation from the pure elements = 37.1 kJ/mol of atoms
Density of states at the Fermi level = 0.833 states/eV per atom

Cell lengths 5.6610, 5.6610, 5.6268 Å; angles 90.00, 90.00, 90.00 degrees
With the nearest neighbours (Å) after each atom.
Atoms (fractional coordinates):
1 Rb 0.0000 0.0000 0.0000  8 La 3.99, 4 Pb 4.00
2 La 0.0000 0.5000 0.5000  2 W 2.83
3 La 0.5000 0.0000 0.5000  2 W 2.83
4 Pb 0.5000 0.5000 0.0000  2 W 2.81
5 W 0.5000 0.5000 0.5000  2 Pb 2.81, 4 La 2.83

=====

[2]
LaRe2Pb | PBE | optimized geometry

Computed properties:
Energy of formation from the pure elements = 88.4 kJ/mol of atoms
Density of states at the Fermi level = 1.016 states/eV per atom

Cell lengths 6.3531, 9.5861, 3.0298 Å; angles 90.00, 117.10, 90.00 degrees
With the nearest neighbours (Å) after each atom.
Atoms (fractional coordinates):
1 La 0.0000 0.0000 0.0000  4 Re 2.89, 2 La 3.03, 2 Pb 3.18
2 La 0.5000 0.5000 0.0000  4 Re 2.89, 2 La 3.03, 2 Pb 3.18
3 Re 0.2500 0.2500 0.5000  2 La 2.89, 2 Pb 2.89, 4 Re 3.03-3.18
4 Re 0.2500 0.7500 0.5000  2 La 2.89, 2 Pb 2.89, 4 Re 3.03-3.18
5 Re 0.7500 0.2500 0.5000  2 La 2.89, 2 Pb 2.89, 4 Re 3.03-3.18
6 Re 0.7500 0.7500 0.5000  2 La 2.89, 2 Pb 2.89, 4 Re 3.03-3.18
7 Pb 0.0000 0.5000 0.0000  4 Re 2.89, 2 Pb 3.03, 2 La 3.18
8 Pb 0.5000 0.0000 0.0000  4 Re 2.89, 2 Pb 3.03, 2 La 3.18

=====

[3]
LaRe2Pb | PBE | optimized geometry

Computed properties:
Energy of formation from the pure elements = 86.4 kJ/mol of atoms
Density of states at the Fermi level = 1.296 states/eV per atom

Cell lengths 4.7254, 4.7254, 7.5386 Å; angles 90.00, 90.00, 90.00 degrees
With the nearest neighbours (Å) after each atom.
Atoms (fractional coordinates):
1 La 0.0000 0.0000 0.0000  4 Pb 3.02, 8 Re 3.02-3.34
2 La 0.5000 0.5000 0.5000  4 Pb 3.02, 8 Re 3.02-3.34
3 Re 0.0000 0.0000 0.5000  4 Pb 3.02, 4 Re 3.02, 4 La 3.34
4 Re 0.0000 0.5000 0.2500  4 La 3.02, 4 Re 3.02, 4 Pb 3.34
5 Re 0.5000 0.0000 0.7500  4 Re 3.02, 4 La 3.02, 4 Pb 3.34
6 Re 0.5000 0.5000 0.0000  4 Pb 3.02, 4 Re 3.02, 4 La 3.34
7 Pb 0.0000 0.5000 0.7500  8 Re 3.02-3.34, 4 La 3.02
8 Pb 0.5000 0.0000 0.2500  4 La 3.02, 8 Re 3.02-3.34

=====

[4]
LaRe2Pb | PBE | optimized geometry

Computed properties:
Energy of formation from the pure elements = 51.0 kJ/mol of atoms
Density of states at the Fermi level = 1.109 states/eV per atom

Cell lengths 3.6376, 5.0291, 10.6144 Å; angles 90.00, 90.00, 90.00 degrees
With the nearest neighbours (Å) after each atom.
Atoms (fractional coordinates):
1 La 0.0000 0.0000 0.0000  6 Re 3.15-3.26, 4 Pb 3.40-3.52
2 La 0.5000 0.5000 0.5000  6 Re 3.15-3.26, 4 Pb 3.40-3.52
3 Re 0.0000 0.0000 0.4500  2 Re 2.39
4 Re 0.0000 0.5000 0.8039  2 Re 2.39
5 Re 0.5000 0.0000 0.3039  2 Re 2.39
6 Re 0.5000 0.5000 0.9500  2 Re 2.39
7 Pb 0.0000 0.5000 0.2157  8 Re 3.24-3.54, 4 La 3.40-3.52
8 Pb 0.5000 0.0000 0.7157  8 Re 3.24-3.54, 4 La 3.40-3.52

=====

[5]
LaRe4Pb | PBE | optimized geometry

Computed properties:
Energy of formation from the pure elements = 43.6 kJ/mol of atoms
Density of states at the Fermi level = 1.043 states/eV per atom

Cell lengths 5.4784, 5.4784, 5.4784 Å; angles 60.00, 60.00, 60.00 degrees
With the nearest neighbours (Å) after each atom.
Atoms (fractional coordinates):
1 La 0.0000 0.0000 0.0000  12 Re 3.21, 4 Pb 3.35
2 Re 0.3761 0.3761 0.3761  6 Re 2.72-2.76
3 Re 0.3761 0.3761 0.8718  6 Re 2.72-2.76
4 Re 0.3761 0.8718 0.3761  6 Re 2.72-2.76
5 Re 0.8718 0.3761 0.3761  6 Re 2.72-2.76
6 Pb 0.7500 0.7500 0.7500  12 Re 3.21, 4 La 3.35

=====

[6]
LaRe2Pb | PBE | optimized geometry

Computed properties:
Energy of formation from the pure elements = 55.8 kJ/mol of atoms
Density of states at the Fermi level = 0.767 states/eV per atom

Cell lengths 10.2448, 3.7811, 5.4642 Å; angles 90.00, 109.45, 90.00 degrees
With the nearest neighbours (Å) after each atom.
Atoms (fractional coordinates):
1 La 0.0000 0.0000 0.0000  4 Pb 3.32, 8 Re 3.33-3.67
2 La 0.5000 0.5000 0.0000  4 Pb 3.32, 8 Re 3.33-3.67
3 Re 0.2414 0.0000 0.6312  2 Re 2.41
4 Re 0.2586 0.5000 0.3688  2 Re 2.41
5 Re 0.7414 0.5000 0.6312  2 Re 2.41
6 Re 0.7586 0.0000 0.3688  2 Re 2.41
7 Pb 0.0000 0.5000 0.5000  6 Re 2.97-3.00, 4 La 3.32
8 Pb 0.5000 0.0000 0.5000  6 Re 2.97-3.00, 4 La 3.32